An optimized crystal structure of HoCdPtRh. Source: Alexandria, functional PBE.

Values from the calculation:
* ρ: 12.8 g/cm3
* energy of formation from the pure elements: -2.9 eV/f.u.
* crystal system: cubic
* raw total energy: -21.8 eV per cell

a = 4.726 Å, b = 4.726 Å, c = 4.726 Å
α = 60.00°, β = 60.00°, γ = 60.00°
Positions (direct):
Rh1 0.250 0.250 0.250
Ho1 0.500 0.500 0.500
Pt1 0.750 0.750 0.750
Cd1 0.000 0.000 0.000

An optimized crystal structure of ZrCoRu2. Source: Alexandria, functional PBE.

Values from the calculation:
* ρ: 9.8 g/cm3
* energy of formation from the pure elements: -0.1 eV/f.u.
* crystal system: tetragonal
* raw total energy: -34.3 eV per cell

a = 4.777 Å, b = 4.777 Å, c = 4.777 Å
α = 131.61°, β = 131.61°, γ = 70.85°
Positions (direct):
Co1 0.750 0.250 0.500
Ru1 0.000 0.000 0.000
Ru2 0.500 0.500 0.000
Zr1 0.250 0.750 0.500

An optimized crystal structure of Tb3Nd8Er2. Source: Alexandria, functional PBE.

Values from the calculation:
* ρ: 7.2 g/cm3
* energy of formation from the pure elements: 2.7 eV/f.u.
* crystal system: monoclinic
* raw total energy: -58.5 eV per cell

a = 5.766 Å, b = 7.742 Å, c = 10.894 Å
α = 110.81°, β = 90.03°, γ = 90.00°
Positions (direct):
Tb1 0.500 0.000 0.000
Tb2 0.000 0.286 0.000
Tb3 0.000 0.714 0.000
Nd1 0.001 0.674 0.347
Nd2 0.999 0.326 0.653
Nd3 0.000 0.132 0.264
Nd4 0.000 0.868 0.736
Nd5 0.500 0.599 0.787
Nd6 0.500 0.187 0.787
Nd7 0.500 0.813 0.213
Nd8 0.500 0.401 0.213
Er1 0.499 0.240 0.480
Er2 0.501 0.760 0.520

An optimized crystal structure of HfSeO5. Source: Alexandria, functional PBE.

Values from the calculation:
* ρ: 5.2 g/cm3
* ΔE_f (raw): -1.773 eV/atom
* crystal system: monoclinic
* raw total energy: -101.3 eV per cell

a = 5.634 Å, b = 5.634 Å, c = 7.877 Å
α = 112.76°, β = 109.86°, γ = 89.09°
Positions (direct):
Hf1 0.999 0.001 0.999
Hf2 0.999 0.501 0.499
Se1 0.626 0.378 0.749
Se2 0.372 0.624 0.249
O1 0.941 0.194 0.249
O2 0.057 0.809 0.749
O3 0.686 0.659 0.350
O4 0.306 0.838 0.149
O5 0.262 0.326 0.068
O6 0.255 0.696 0.431
O7 0.736 0.677 0.930
O8 0.743 0.307 0.568
O9 0.692 0.165 0.850
O10 0.312 0.344 0.649